Record 1
Be2InP | Alexandria | PBE | optimized geometry; DOS(E_F) = 1.72 states/eV/cell; energy of formation from the pure elements = 0.48 eV per atom; total magnetization = 0.0 μB/cell
1.0
3.209 -0.020 0.000
-1.315 2.927 0.000
0.000 0.000 6.941
P Be In
1 2 1
Cartesian
0.947 1.453 5.206
0.000 0.000 6.445
0.000 0.000 3.967
0.947 1.453 1.735

Record 2
La2MgRu | Alexandria | PBE | optimized geometry; DOS(E_F) = 2.99 states/eV/cell; energy of formation from the pure elements = -0.10 eV per atom; total magnetization = 0.0 μB/cell
1.0
-3.231 -3.693 4.916
-0.678 -5.769 3.808
2.315 0.467 4.459
La Mg Ru
2 1 1
Cartesian
-3.514 -8.833 8.455
-1.158 -6.686 9.862
-1.241 -5.206 6.897
-0.388 -2.229 3.283

Record 3
La2Pr5SmMg | Alexandria | PBE | optimized geometry; DOS(E_F) = 26.82 states/eV/cell; energy of formation from the pure elements = 0.08 eV per atom; total magnetization = 0.0 μB/cell
1.0
5.690 0.000 0.000
-2.845 10.228 0.000
0.000 0.000 10.940
La Pr Sm Mg
4 10 2 2
Cartesian
2.845 7.859 8.747
0.000 2.376 7.846
0.000 2.369 3.277
2.845 7.852 2.376
0.000 7.780 0.091
2.845 4.371 8.885
0.000 10.224 8.291
0.000 5.872 7.711
2.845 9.937 5.560
2.845 2.447 5.561
0.000 5.857 3.414
2.845 0.004 2.820
2.845 4.356 2.241
0.000 0.291 0.090
2.845 6.142 5.563
0.000 4.086 0.093
2.845 1.950 0.082
0.000 8.277 5.552

Record 4
MgCuF2 | Alexandria | PBE | optimized geometry; DOS(E_F) = 0.30 states/eV/cell; raw formation energy = -7.39 eV/f.u.; total magnetization = 0.0 μB/cell
1.0
5.487 0.000 0.000
0.000 5.487 0.000
2.743 2.743 4.485
Mg Cu F
2 2 4
Cartesian
2.743 2.743 0.000
2.743 5.487 2.242
0.000 0.000 0.000
5.487 2.743 2.242
3.394 1.372 1.121
2.093 4.115 1.121
4.115 4.836 3.363
6.858 6.138 3.363

Computed electronic total energy, in the same sequence as the records: -3.4219 -5.2802 -4.3767 -4.2069 eV/atom.